1.
Computed, not measured: crystalline Rb3Ce2RhS6 at its relaxed geometry at the PBE level of DFT.

a = 6.927 Å, b = 6.927 Å, c = 8.062 Å
α = 98.84°, β = 98.84°, γ = 118.74°
Site moments in Bohr magnetons follow the coordinates.
Fractional positions:
S 0.636 0.939 0.818  -0.01
Rh 0.000 0.000 0.000  0.60
Rb 0.170 0.830 0.500  0.00
S 0.061 0.364 0.182  -0.01
S 0.736 0.736 0.202  0.04
S 0.364 0.061 0.182  -0.01
S 0.264 0.264 0.798  0.04
Rb 0.500 0.500 0.500  0.01
S 0.939 0.636 0.818  -0.01
Rb 0.830 0.170 0.500  0.00
Ce 0.666 0.334 0.000  0.62
Ce 0.334 0.666 0.000  0.62

## Properties
* energy relative to the elements, uncorrected: -1.328 eV per atom
* DOS(E_F): 7.38 states/eV/f.u.
* M_tot: 0.175 μB per atom


2.
Computed, not measured: crystalline RbCeRhS3 at its relaxed geometry at the PBE level of DFT.

a = 4.068 Å, b = 9.014 Å, c = 9.448 Å
α = 108.04°, β = 90.00°, γ = 90.00°
Site moments in Bohr magnetons follow the coordinates.
Fractional positions:
S 0.750 0.189 0.536  0.00
S 0.750 0.461 0.151  -0.01
Rb 0.750 0.801 0.763  0.00
Rh 0.250 0.084 0.588  0.01
Rb 0.250 0.199 0.237  0.00
S 0.250 0.127 0.855  -0.01
S 0.250 0.539 0.849  -0.01
S 0.750 0.873 0.145  -0.01
S 0.250 0.811 0.464  0.00
Rh 0.750 0.916 0.412  0.01
Ce 0.750 0.322 0.841  0.20
Ce 0.250 0.678 0.159  0.20

## Properties
* energy relative to the elements, uncorrected: -1.304 eV per atom
* DOS(E_F): 4.39 states/eV/f.u.
* M_tot: 0.035 μB per atom


3.
Computed, not measured: crystalline Rb2Ce2RhS6 at its relaxed geometry at the PBE level of DFT.

a = 6.722 Å, b = 6.722 Å, c = 8.235 Å
α = 98.38°, β = 98.38°, γ = 118.44°
Site moments in Bohr magnetons follow the coordinates.
Fractional positions:
S 0.635 0.934 0.316  -0.01
Ce 0.668 0.332 0.500  0.57
Rb 0.173 0.827 0.000  0.00
S 0.066 0.365 0.684  -0.01
S 0.232 0.232 0.319  -0.01
Ce 0.332 0.668 0.500  0.57
Rb 0.827 0.173 0.000  0.00
S 0.934 0.635 0.316  -0.01
Rh 0.000 0.000 0.500  0.01
S 0.768 0.768 0.681  -0.01
S 0.365 0.066 0.684  -0.01

## Properties
* energy relative to the elements, uncorrected: -1.358 eV per atom
* DOS(E_F): 7.16 states/eV/f.u.
* M_tot: 0.101 μB per atom


4.
Computed, not measured: crystalline Rb3Ce3RhS8 at its relaxed geometry at the PBE level of DFT.

a = 8.062 Å, b = 8.063 Å, c = 9.101 Å
α = 116.30°, β = 90.00°, γ = 120.00°
Site moments in Bohr magnetons follow the coordinates.
Fractional positions:
S 0.267 0.535 0.302  -0.02
S 0.791 0.581 0.323  -0.02
Ce 0.000 0.500 0.500  0.65
S 0.209 0.967 0.677  -0.02
S 0.791 0.033 0.323  -0.02
Rb 0.500 0.500 0.000  0.00
S 0.242 0.033 0.323  -0.02
S 0.733 0.465 0.698  -0.02
Rh 0.000 0.000 0.500  0.07
S 0.209 0.419 0.677  -0.02
Ce 0.500 0.000 0.500  0.65
Ce 0.500 0.500 0.500  0.65
S 0.758 0.967 0.677  -0.02
Rb 0.000 0.000 0.000  0.00
Rb 0.000 0.500 0.000  0.00

## Properties
* energy relative to the elements, uncorrected: -1.461 eV per atom
* DOS(E_F): 14.15 states/eV/f.u.
* M_tot: 0.135 μB per atom


Q: Number 2 is which compound?
A: RbCeRhS3